VASP calculation (PBE-GGA) on Y3Er4Tm4 after structural relaxation.

Crystal system ... orthorhombic
E ... -107.14 eV for the cell shown
DOS at the Fermi energy ... 1.4016 states/eV/atom
Energy of formation ... 0.18 eV/atom
Mass density ... 7.6 g cm⁻³

CIF file:
```
data_Y3Er4Tm4
_cell_length_a 3.518
_cell_length_b 11.080
_cell_length_c 18.005
_cell_angle_alpha 90.00
_cell_angle_beta 90.00
_cell_angle_gamma 90.00
_space_group_name_H-M_alt 'I m m m'
_space_group_IT_number 71
_space_group_name_Hall '-I 2 2'
loop_
_atom_site_label
_atom_site_fract_x
_atom_site_fract_y
_atom_site_fract_z
Y1 0.000 0.000 0.000
Y2 0.000 0.500 0.110
Er1 0.000 0.000 0.220
Er2 0.000 0.206 0.500
Tm1 0.000 0.259 0.329
```

VASP calculation (PBE-GGA) on ScHgTe2 after structural relaxation.

Crystal system ... orthorhombic
E ... -29.47 eV for the cell shown
DOS at the Fermi energy ... 0.4267 states/eV/atom
Mass density ... 6.6 g cm⁻³
Energy relative to the elements, uncorrected ... -455 meV per atom

CIF file:
```
data_ScHgTe2
_cell_length_a 3.680
_cell_length_b 5.119
_cell_length_c 13.314
_cell_angle_alpha 90.00
_cell_angle_beta 90.00
_cell_angle_gamma 90.00
_space_group_name_H-M_alt 'I m m m'
_space_group_IT_number 71
_space_group_name_Hall '-I 2 2'
loop_
_atom_site_label
_atom_site_fract_x
_atom_site_fract_y
_atom_site_fract_z
Sc1 0.000 0.000 0.000
Hg1 0.000 0.000 0.500
Te1 0.000 0.500 0.338
```